4
Lattice="5.235 0.000 0.000 0.000 4.038 0.022 0.000 1.985 4.736" Properties=species:S:1:pos:R:3 comment="ScSbSe2, relaxed, DFT PBE-GGA" spacegroup="Pm (6)" energy_ev_per_cell=-20.40 total_magnetization_mub_per_cell=0.00 pbc="T T T"
Sb 0.000 3.262 2.700
Sc 2.617 5.269 3.741
Se 0.000 5.271 4.520
Se 2.617 1.255 0.935